## Sb5C (GGA-PBE)

Data for Sb5C after structural relaxation.

Computed properties:
VASP energy: -21.253 eV per formula unit
uncorrected formation energy: 1.43 eV/atom
magnetic moment: 1.48 μB/cell
excess energy over the best structure of this formula in the dataset: 866 meV/atom
V: 165 Å³/cell

Cell lengths 6.160, 6.160, 6.160 Å; angles 60.00, 60.00, 60.00 degrees
Fractional positions:
Sb  0.000  0.000  0.000
Sb  0.128  0.624  0.624
Sb  0.624  0.128  0.624
Sb  0.624  0.624  0.128
Sb  0.624  0.624  0.624
C  0.250  0.250  0.250



## Hf4SnC (GGA-PBE)

Data for Hf4SnC after structural relaxation.

Computed properties:
VASP energy: -54.910 eV per formula unit
magnetic moment: 0.00 μB/cell
excess energy over the best structure of this formula in the dataset: 0 meV/atom
energy of formation: -0.31 eV per atom
V: 122 Å³/cell

Cell lengths 5.174, 3.245, 7.601 Å; angles 90.00, 106.95, 90.00 degrees
Fractional positions:
Hf  0.165  0.000  0.230
Hf  0.283  0.500  0.596
Hf  0.717  0.500  0.404
Hf  0.835  0.000  0.770
Sn  0.500  0.500  0.000
C  0.500  0.000  0.500



N(E_F): 5.13; 4.22 (states/eV/f.u.)